Density functional theory data (GGA+U) for SrCoO2 after structural relaxation.

The calculation puts the uncorrected energy at -5.9792 eV per atom.

POSCAR file:
```
SrCoO2
1.0
3.7940 0.0000 0.0000
-1.8970 3.2857 0.0000
0.0000 0.0000 17.7439
Sr Co O
3 3 6
Direct
0.0000 0.3289 0.3333
0.3289 0.0000 0.6667
0.6711 0.6711 0.0000
0.0000 0.3360 0.8333
0.3360 0.0000 0.1667
0.6640 0.6640 0.5000
0.0045 0.3380 0.9311
0.3335 0.9955 0.2645
0.3380 0.0045 0.0689
0.6620 0.6665 0.5978
0.6665 0.6620 0.4022
0.9955 0.3335 0.7355
```